Entry 1:
{
  "formula": "AlAsAu2",
  "functional": "GGA-PBE",
  "state": "relaxed",
  "formation_energy_ev_per_fu": 0.0,
  "magnetic_moment_mub_per_fu": 0.00,
  "dos_at_fermi_per_ev_atom": 0.440,
  "vol_a3_per_cell": 74.3,
  "crystal_system": "orthorhombic",
  "lattice": [[5.631, -0.094, 0.032], [2.292, 5.145, -0.032], [-3.019, -4.003, 2.564]],
  "species": ["As", "Au", "Au", "Al"],
  "frac_coords": [[0.250, 0.750, 0.500], [0.981, 0.981, 0.000], [0.519, 0.519, 0.000], [0.750, 0.250, 0.500]]
}


Entry 2:
{
  "formula": "AlAsAu2",
  "functional": "GGA-PBE",
  "state": "relaxed",
  "formation_energy_ev_per_fu": -0.4,
  "magnetic_moment_mub_per_fu": 0.00,
  "dos_at_fermi_per_ev_atom": 0.291,
  "vol_a3_per_cell": 74.1,
  "crystal_system": "monoclinic",
  "lattice": [[-2.352, -2.762, -2.449], [0.719, -3.653, -2.302], [-1.407, -4.223, 3.799]],
  "species": ["As", "Au", "Au", "Al"],
  "frac_coords": [[0.250, 0.250, 0.250], [0.011, 0.011, 0.974], [0.489, 0.489, 0.526], [0.750, 0.750, 0.750]]
}


Entry 3:
{
  "formula": "AlAsAu2",
  "functional": "GGA-PBE",
  "state": "relaxed",
  "formation_energy_ev_per_fu": -0.4,
  "magnetic_moment_mub_per_fu": 0.00,
  "dos_at_fermi_per_ev_atom": 0.275,
  "vol_a3_per_cell": 73.3,
  "crystal_system": "trigonal",
  "lattice": [[-3.125, 4.828, -5.854], [-5.819, 3.470, -4.631], [-4.508, 6.074, -3.183]],
  "species": ["As", "Au", "Au", "Al"],
  "frac_coords": [[0.750, 0.750, 0.750], [0.994, 0.994, 0.994], [0.506, 0.506, 0.506], [0.250, 0.250, 0.250]]
}


Entry 4:
{
  "formula": "AlAsAu2",
  "functional": "GGA-PBE",
  "state": "relaxed",
  "formation_energy_ev_per_fu": 0.1,
  "magnetic_moment_mub_per_fu": 0.00,
  "dos_at_fermi_per_ev_atom": 0.290,
  "vol_a3_per_cell": 71.5,
  "crystal_system": "orthorhombic",
  "lattice": [[3.017, 0.237, 0.000], [-0.124, 3.024, 0.000], [0.000, 0.000, 7.808]],
  "species": ["As", "Au", "Au", "Al"],
  "frac_coords": [[0.500, 0.500, 0.733], [0.000, 0.000, 0.001], [0.500, 0.500, 0.277], [0.000, 0.000, 0.488]]
}


Entry 5:
{
  "formula": "AlAsAu2",
  "functional": "GGA-PBE",
  "state": "relaxed",
  "formation_energy_ev_per_fu": 0.1,
  "magnetic_moment_mub_per_fu": 0.00,
  "dos_at_fermi_per_ev_atom": 0.235,
  "vol_a3_per_cell": 71.6,
  "crystal_system": "orthorhombic",
  "lattice": [[4.978, -0.039, 0.000], [-1.451, 4.762, 0.000], [0.000, 0.000, 3.029]],
  "species": ["As", "Au", "Au", "Al"],
  "frac_coords": [[0.000, 0.500, 0.500], [0.000, 0.000, 0.000], [0.500, 0.500, 0.000], [0.500, 0.000, 0.500]]
}


Entry 6:
{
  "formula": "AlAsAu2",
  "functional": "GGA-PBE",
  "state": "relaxed",
  "formation_energy_ev_per_fu": 0.1,
  "magnetic_moment_mub_per_fu": 0.00,
  "dos_at_fermi_per_ev_atom": 0.304,
  "vol_a3_per_cell": 72.2,
  "crystal_system": "orthorhombic",
  "lattice": [[-2.005, -2.258, 4.130], [-2.857, -3.977, -1.484], [4.841, 1.526, -0.644]],
  "species": ["As", "Au", "Au", "Al"],
  "frac_coords": [[0.274, 0.774, 0.500], [0.998, 0.998, 0.000], [0.728, 0.228, 0.500], [0.501, 0.501, 0.000]]
}